# Ac3AgRhO

An optimized crystal structure of Ac3AgRhO (PBE, Alexandria via LeMat-Bulk).

Formation energy without anion corrections: -1.2519 eV/atom

Lattice parameters (Å, degrees): 9.169 4.343 9.611 90.00 101.94 90.00
Space group P2_1/m (No. 11)
Symmetry-distinct sites (fractional):
Ac (0.062, 0.250, 0.337) (multiplicity 2)
Ac (0.316, 0.250, 0.971) (multiplicity 2)
Ac (0.378, 0.750, 0.643) (multiplicity 2)
Ag (0.321, 0.750, 0.270) (multiplicity 2)
Rh (0.160, 0.250, 0.650) (multiplicity 2)
O (0.418, 0.750, 0.907) (multiplicity 2)